5
Lattice="-0.277 6.279 -1.086 -4.058 -0.656 -2.760 -3.645 0.736 5.182" Properties=species:S:1:pos:R:3 comment="Ba2HfAsP | the Alexandria database | PBE | optimized geometry" delta_e_f_ev_per_atom=0.361 spacegroup="P4/mmm, No. 123" pbc="T T T"
Ba -0.138 3.140 -0.543
Hf 0.000 0.000 0.000
P -3.989 3.179 0.668
As -2.029 -0.328 -1.380
Ba -1.822 0.368 2.591

***

19
Lattice="8.655 0.000 0.000 -4.327 8.620 1.569 0.000 -1.297 9.959" Properties=species:S:1:pos:R:3 comment="Ac12Mg2Tl5 | the Alexandria database | PBE | optimized geometry" delta_e_f_ev_per_atom=-0.046 spacegroup="C2/m, No. 12" pbc="T T T"
Ac 6.739 2.814 1.827
Tl 0.000 3.561 7.645
Ac 0.000 7.240 8.360
Ac -2.412 4.509 9.700
Ac 4.327 7.522 3.175
Ac 1.915 2.814 1.827
Tl 0.000 -0.649 4.979
Mg 2.853 0.000 0.000
Tl 0.000 5.843 2.541
Tl 4.327 3.762 3.882
Mg 5.802 0.000 0.000
Ac 6.408 1.758 5.935
Ac 2.247 1.758 5.935
Tl 4.327 1.480 8.986
Ac 2.412 4.509 9.700
Ac 0.000 -0.199 8.352
Ac 2.080 5.565 5.592
Ac 4.327 0.083 3.167
Ac -2.080 5.565 5.592

***

4
Lattice="4.534 -0.011 0.000 -1.990 4.074 0.000 0.000 0.000 8.981" Properties=species:S:1:pos:R:3 comment="TlTeBr2 | the Alexandria database | PBE | optimized geometry" spacegroup="Cmm2, No. 35" formation_energy_uncorrected_mev_per_atom=-176 pbc="T T T"
Tl 1.272 2.031 6.862
Br 0.000 0.000 8.585
Te 0.000 0.000 4.126
Br 1.272 2.031 2.880

***

4
Lattice="2.769 0.000 0.000 0.000 2.769 0.000 0.000 0.000 7.093" Properties=species:S:1:pos:R:3 comment="Cu2MoRh | the Alexandria database | PBE | optimized geometry" delta_e_f_ev_per_atom=0.039 spacegroup="P4mm, No. 99" pbc="T T T"
Cu 1.385 1.385 1.650
Rh 1.385 1.385 5.365
Cu 0.000 0.000 0.083
Mo 0.000 0.000 3.540

***

5
Lattice="-0.186 2.092 -4.548 -2.856 -3.782 -1.623 -4.112 2.532 1.333" Properties=species:S:1:pos:R:3 comment="Ta3CdTe | the Alexandria database | PBE | optimized geometry" spacegroup="Pm-3m, No. 221" formation_energy_uncorrected_mev_per_atom=2066 pbc="T T T"
Ta -1.428 -1.891 -0.811
Ta -0.093 1.046 -2.274
Cd 0.000 0.000 0.000
Ta -2.056 1.266 0.666
Te -3.577 0.421 -2.419

***

5
Lattice="4.493 0.000 0.000 0.000 5.406 0.000 0.000 0.000 4.493" Properties=species:S:1:pos:R:3 comment="RbNaBeP2 | the Alexandria database | PBE | optimized geometry" delta_e_f_ev_per_atom=0.284 spacegroup="P4/mmm, No. 123" pbc="T T T"
Na 2.247 2.703 2.247
P 0.000 0.000 2.247
Rb 0.000 2.703 0.000
Be 0.000 0.000 0.000
P 2.247 0.000 0.000